Entry from the Alexandria database: a relaxed Ge3MoSe crystal (GGA-PBE).

Computed properties:
The energy above the lowest structure with this stoichiometry is 0 meV per atom. As for the crystal system: cubic. The total energy comes out at -25.9 eV/cell. For the total moment, the calculation gives 1.8 μB/f.u.

a b c (Å): 4.9247 4.9247 4.9247
angles (deg): 90.00 90.00 90.00
Last column: nearest neighbours and their distance in Å.
Element x y z (fractional)
Mo 0.0000 0.0000 0.0000  6 Ge 2.46
Ge 0.0000 0.5000 0.0000  2 Mo 2.46
Ge 0.0000 0.0000 0.5000  2 Mo 2.46
Ge 0.5000 0.0000 0.0000  2 Mo 2.46
Se 0.5000 0.5000 0.5000  12 Ge 3.48